A plane-wave DFT calculation with PBEsol was carried out for In4Ag9 after structural relaxation.

The total energy comes out at -3.28 eV/atom. For the spin magnetization, the calculation gives 0.000 μB per cell. The calculation puts the formation energy from the elements at -0.07 eV per atom.

The structure belongs to space group P-43m (No. 215); the cell edges are 9.8013, 9.8013 and 9.8013 Å and the angles 90.00°, 90.00° and 90.00°. The asymmetric unit holds In at (0.0345, 0.3096, 0.3096), In at (0.3773, 0.3773, 0.6227), Ag at (0.0000, 0.0000, 0.3566), Ag at (0.1051, 0.1051, 0.1051), Ag at (0.1430, 0.5000, 0.5000), Ag at (0.1745, 0.1745, 0.8255), Ag at (0.1830, 0.1830, 0.5301) and Ag at (0.3298, 0.3298, 0.3298).